1.
The following is a PBE calculation of a geometry-optimized Ce2TmHfAs4 structure, from the Alexandria database.

abc: 4.069 7.053 7.058
angles: 109.39 90.00 90.00
Site moments in Bohr magnetons follow the coordinates.
Sites, in units of the cell vectors:
Ce  0.000  0.500  0.500  0.62
Ce  0.500  0.000  0.500  0.56
As  0.000  0.247  0.765  -0.01
As  0.500  0.764  0.770  -0.01
As  0.000  0.753  0.235  -0.01
As  0.500  0.236  0.230  -0.01
Tm  0.500  0.500  0.000  0.01
Hf  0.000  0.000  0.000  0.02

Properties
Energy of formation   -1344 meV/atom
Density of states at the Fermi level   11.00 states/eV/f.u.
Total magnetization   1.38 Bohr magnetons per cell

---

2.
The following is a PBE calculation of a geometry-optimized ZnSn2B2Ir5 structure, from the Alexandria database.

abc: 3.148 9.481 9.481
angles: 90.00 90.00 90.00
Sites, in units of the cell vectors:
Zn  0.000  0.500  0.500
Zn  0.000  0.000  0.000
B  0.000  0.626  0.874
B  0.000  0.874  0.374
B  0.000  0.374  0.126
B  0.000  0.126  0.626
Sn  0.000  0.677  0.177
Sn  0.000  0.177  0.323
Sn  0.000  0.323  0.823
Sn  0.000  0.823  0.677
Ir  0.500  0.216  0.074
Ir  0.500  0.784  0.926
Ir  0.500  0.074  0.784
Ir  0.500  0.500  0.000
Ir  0.500  0.000  0.500
Ir  0.500  0.426  0.284
Ir  0.500  0.716  0.426
Ir  0.500  0.926  0.216
Ir  0.500  0.574  0.716
Ir  0.500  0.284  0.574

Properties
Energy of formation   -55 meV/atom
Density of states at the Fermi level   4.24 states/eV/f.u.
Total magnetization   0.00 Bohr magnetons per cell

---

3.
The following is a PBE calculation of a geometry-optimized Tm2In3Sn3 structure, from the Alexandria database.

abc: 4.841 4.581 9.079
angles: 90.00 90.00 90.00
Sites, in units of the cell vectors:
In  0.500  0.000  0.000
In  0.500  0.500  0.246
In  0.500  0.500  0.754
Sn  0.500  0.000  0.500
Sn  0.000  0.500  0.000
Sn  0.000  0.500  0.500
Tm  0.000  0.000  0.749
Tm  0.000  0.000  0.251

Properties
Energy of formation   -367 meV/atom
Density of states at the Fermi level   3.79 states/eV/f.u.
Total magnetization   0.00 Bohr magnetons per cell

---

4.
The following is a PBE calculation of a geometry-optimized Co2PbBr structure, from the Alexandria database.

abc: 3.271 3.271 7.770
angles: 90.00 90.00 90.00
Site moments in Bohr magnetons follow the coordinates.
Sites, in units of the cell vectors:
Co  0.000  0.000  0.053  1.94
Co  0.500  0.500  0.174  1.75
Pb  0.000  0.000  0.418  -0.02
Br  0.500  0.500  0.854  0.12

Properties
Density of states at the Fermi level   5.96 states/eV/f.u.
Relative energy among the computed polymorphs   47 meV/atom
Total magnetization   3.80 Bohr magnetons per cell
Formation energy (no corrections)   313 meV/atom

---

5.
The following is a PBE calculation of a geometry-optimized TaCdSi structure, from the Alexandria database.

abc: 7.188 7.051 2.883
angles: 80.99 75.67 23.34
Sites, in units of the cell vectors:
Ta  0.678  0.678  0.322
Cd  0.003  0.003  0.997
Si  0.319  0.319  0.681

Properties
Density of states at the Fermi level   2.05 states/eV/f.u.
Relative energy among the computed polymorphs   0 meV/atom
Total magnetization   0.00 Bohr magnetons per cell
Formation energy (no corrections)   228 meV/atom

---

6.
The following is a PBE calculation of a geometry-optimized TcSbRh structure, from the Alexandria database.

abc: 4.814 4.814 4.814
angles: 143.45 130.54 63.04
Sites, in units of the cell vectors:
Rh  0.007  0.007  0.000
Sb  0.333  0.333  0.000
Tc  0.661  0.661  0.000

Properties
Density of states at the Fermi level   4.08 states/eV/f.u.
Relative energy among the computed polymorphs   49 meV/atom
Total magnetization   0.00 Bohr magnetons per cell
Formation energy (no corrections)   188 meV/atom